No. 1
Compound: Ce2PrTh3As6
Source: Alexandria
Functional: PBE
Structure: optimized geometry

Geometry as POSCAR:
```
Ce2PrTh3As6
1.0
-3.584 -4.479 4.627
-0.506 -1.051 -7.277
6.890 -2.352 1.104
As Pr Th Ce
6 1 3 2
Cartesian
1.215 -1.407 -2.399
4.130 -3.169 0.155
2.623 -5.320 -3.161
0.177 -2.562 1.615
1.585 -6.475 0.853
-1.330 -4.713 -1.701
0.000 0.000 0.000
2.429 -2.795 -4.755
1.400 -3.941 -0.773
0.371 -5.088 3.209
-2.559 -3.337 0.662
-1.532 -2.193 -3.312
```

Theoretical density, g/cm3: 7.97
Symmetry: C2/m
ΔH_f (0 K), meV/atom: -1441


No. 2
Compound: LiCdPb3
Source: Alexandria
Functional: PBE
Structure: optimized geometry

Geometry as POSCAR:
```
LiCdPb3
1.0
6.247 0.000 0.000
0.000 8.266 -2.494
0.000 0.087 10.496
Li Pb Cd
4 12 4
Cartesian
1.596 5.314 0.089
4.651 3.040 7.913
4.719 2.996 2.665
1.528 5.358 5.337
0.041 6.691 7.955
1.493 3.265 7.925
4.616 5.132 5.324
3.104 8.229 -0.508
1.631 3.221 2.677
4.754 5.089 0.076
6.227 0.081 3.262
6.206 1.663 0.047
3.082 6.647 2.707
3.165 1.706 5.294
3.143 0.125 8.510
0.020 8.272 4.740
0.015 5.852 2.722
6.232 2.502 5.280
3.138 2.458 0.032
3.109 5.895 7.970
```

Theoretical density, g/cm3: 9.06
Symmetry: P2_1/c
ΔH_f (0 K), meV/atom: -73


No. 3
Compound: Na2CaTl
Source: Alexandria
Functional: PBE
Structure: optimized geometry

Geometry as POSCAR:
```
Na2CaTl
1.0
3.726 0.000 0.000
1.863 3.227 0.000
1.863 1.076 11.670
Na Tl Ca
2 1 1
Cartesian
1.863 1.076 2.635
1.863 1.076 9.030
3.726 2.151 0.003
3.726 2.151 5.836
```

Theoretical density, g/cm3: 3.44
Symmetry: R3m
ΔH_f (0 K), meV/atom: 23


No. 4
Compound: BaMoSe2
Source: Alexandria
Functional: PBE
Structure: optimized geometry

Geometry as POSCAR:
```
BaMoSe2
1.0
-0.799 1.258 3.726
-3.730 0.957 -1.123
-2.281 -6.779 1.800
Ba Mo Se
1 1 2
Cartesian
-1.006 -2.989 0.794
-4.357 -5.111 2.952
-2.002 -5.949 1.580
-2.867 -0.683 1.777
```

Theoretical density, g/cm3: 5.47
Symmetry: P4mm


No. 5
Compound: TaSiHgH2
Source: Alexandria
Functional: PBE
Structure: optimized geometry

Geometry as POSCAR:
```
TaSiHgH2
1.0
-1.776 -1.992 -2.397
2.251 -5.070 2.544
-2.822 -0.144 2.210
Si H Hg Ta
1 2 1 1
Cartesian
-1.174 -3.603 1.179
-1.411 -0.072 1.105
-0.888 -0.996 -1.199
0.000 0.000 0.000
1.126 -2.535 1.272
```

Theoretical density, g/cm3: 8.70
Symmetry: P4/mmm


No. 6
Compound: Tb6TlAu2
Source: Alexandria
Functional: PBE
Structure: optimized geometry

Geometry as POSCAR:
```
Tb6TlAu2
1.0
8.208 -0.170 -3.000
-4.437 7.161 -2.331
-0.096 0.170 8.739
Au Tb Tl
4 12 2
Cartesian
1.287 4.464 -1.819
2.389 2.697 5.227
5.324 0.000 3.766
2.788 0.000 1.972
4.184 4.983 -2.741
-1.924 7.021 2.719
5.599 0.140 0.688
-0.509 2.178 6.149
0.539 1.742 2.665
-1.840 5.590 6.028
4.032 2.675 2.904
2.580 2.008 -0.473
1.096 5.153 3.880
5.516 1.572 -2.621
-0.356 4.486 0.504
3.137 5.419 0.742
-2.266 3.666 3.204
0.000 0.000 0.000
```

Theoretical density, g/cm3: 10.10
Symmetry: Immm
ΔH_f (0 K), meV/atom: -464


No. 7
Compound: Ca2ScTa
Source: Alexandria
Functional: PBE
Structure: optimized geometry

Geometry as POSCAR:
```
Ca2ScTa
1.0
-2.028 1.848 -1.517
-2.247 -2.154 0.380
-2.848 4.643 9.464
Ca Sc Ta
2 1 1
Cartesian
-1.490 2.430 4.953
-2.782 4.534 9.243
-2.850 1.008 1.798
-4.274 3.329 6.530
```

Theoretical density, g/cm3: 4.73
Symmetry: P4/mmm
ΔH_f (0 K), meV/atom: 603


No. 8
Compound: BaTeI2Br
Source: Alexandria
Functional: PBE
Structure: optimized geometry

Geometry as POSCAR:
```
BaTeI2Br
1.0
5.755 0.000 0.000
0.000 5.755 0.000
0.000 0.000 6.227
I Ba Br Te
2 1 1 1
Cartesian
2.878 0.000 0.000
0.000 2.878 0.000
2.878 2.878 3.114
0.000 0.000 0.000
0.000 0.000 3.114
```

Theoretical density, g/cm3: 4.82
Symmetry: P4/mmm


No. 9
Compound: KCr2Ir
Source: Alexandria
Functional: PBE
Structure: optimized geometry

Geometry as POSCAR:
```
KCr2Ir
1.0
3.402 -2.073 -1.918
1.032 -4.129 1.197
-0.739 -3.358 -2.779
Cr K Ir
2 1 1
Cartesian
2.771 -7.169 -2.625
0.924 -2.390 -0.875
0.000 0.000 0.000
1.847 -4.780 -1.750
```

Theoretical density, g/cm3: 9.11
Symmetry: Fm-3m
ΔH_f (0 K), meV/atom: 1399


No. 10
Compound: SrCd4Ag
Source: Alexandria
Functional: PBE
Structure: optimized geometry

Geometry as POSCAR:
```
SrCd4Ag
1.0
-5.178 0.868 2.794
-2.198 5.499 0.547
-4.819 1.597 -3.097
Cd Sr Ag
4 1 1
Cartesian
-5.670 5.745 0.366
-6.987 3.784 -1.465
-7.167 3.418 1.495
-4.565 2.981 0.091
-9.146 5.973 0.183
0.000 0.000 0.000
```

Theoretical density, g/cm3: 7.20
Symmetry: F-43m
ΔH_f (0 K), meV/atom: -117


No. 11
Compound: Ac3TlIn2
Source: Alexandria
Functional: PBE
Structure: optimized geometry

Geometry as POSCAR:
```
Ac3TlIn2
1.0
-2.761 1.839 2.425
-2.724 -2.953 -0.863
4.083 -6.586 9.645
Ac In Tl
3 2 1
Cartesian
0.000 0.000 0.000
1.349 -2.176 3.187
2.734 -4.410 6.458
0.664 -6.052 8.828
-2.067 -1.647 2.378
-0.701 -3.850 5.603
```

Theoretical density, g/cm3: 8.86
Symmetry: P4/mmm
ΔH_f (0 K), meV/atom: -399


No. 12
Compound: ZrSb2Te
Source: Alexandria
Functional: PBE
Structure: optimized geometry

Geometry as POSCAR:
```
ZrSb2Te
1.0
5.243 0.000 0.000
2.622 4.541 0.000
2.622 1.514 4.281
Zr Sb Te
1 2 1
Cartesian
7.865 4.541 3.211
2.622 1.514 1.070
0.000 0.000 0.000
5.243 3.027 2.141
```

Theoretical density, g/cm3: 7.53
Symmetry: F-43m


No. 13
Compound: Nb6SiMo5
Source: Alexandria
Functional: PBE
Structure: optimized geometry

Geometry as POSCAR:
```
Nb6SiMo5
1.0
4.366 0.019 -1.274
-0.890 5.694 -2.965
-0.072 0.401 7.876
Nb Si Mo
6 1 5
Cartesian
3.070 3.591 2.455
-0.108 5.352 -0.292
3.512 0.762 3.928
1.955 1.468 -1.397
1.521 4.245 -2.843
0.334 2.523 1.181
0.000 0.000 0.000
2.300 3.954 -0.180
0.685 5.057 2.423
1.105 2.160 3.816
2.719 1.057 1.214
-0.445 2.847 -1.483
```

Theoretical density, g/cm3: 8.80
Symmetry: Immm


Results for raw total energy: -84.1 -57.3 -6.9 -21.5 -21.3 -81.8 -19.8 -12.4 -23.6 -8.9 -22.6 -20.0 -122.1 (in eV/cell, following the order of the records).